Material: ErTmSc4
Method: DFT, PBE-GGA
State: relaxed

## Properties
Polymorph energy (0 for the lowest one) ... 0 meV/atom
Space group ... Cmc2_1 (36)
Energy of formation from the pure elements ... 0.032 eV per atom

a = 3.363 Å, b = 8.872 Å, c = 10.780 Å
α = 90.00°, β = 90.00°, γ = 100.92°
Fractional positions:
1 Er 0.663 0.327 0.764
2 Er 0.337 0.673 0.264
3 Tm 0.780 0.559 0.520
4 Tm 0.220 0.441 0.020
5 Sc 0.003 0.006 0.269
6 Sc 0.997 0.994 0.769
7 Sc 0.892 0.785 0.015
8 Sc 0.108 0.215 0.515
9 Sc 0.663 0.327 0.273
10 Sc 0.337 0.673 0.773
11 Sc 0.448 0.896 0.520
12 Sc 0.552 0.104 0.020



Material: AcCeTl2
Method: DFT, PBE-GGA
State: relaxed

## Properties
Space group ... P4/mmm (123)
Energy of formation from the pure elements ... -0.263 eV per atom

a = 4.031 Å, b = 4.031 Å, c = 7.994 Å
α = 90.00°, β = 90.00°, γ = 90.00°
Fractional positions:
1 Ac 0.500 0.500 0.500
2 Tl 0.000 0.000 0.768
3 Tl 0.000 0.000 0.232
4 Ce 0.500 0.500 0.000



Material: Ba3NdO4
Method: DFT, PBE-GGA
State: relaxed

## Properties
E_form (uncorrected) ... -2.528 eV per atom
Space group ... Pmn2_1 (31)

a = 5.600 Å, b = 7.776 Å, c = 9.025 Å
α = 90.00°, β = 90.00°, γ = 90.00°
Fractional positions:
1 Ba 0.555 0.837 0.000
2 Ba 0.056 0.662 0.247
3 Ba 0.556 0.338 0.253
4 Ba 0.055 0.163 0.500
5 Ba 0.556 0.338 0.747
6 Ba 0.056 0.662 0.753
7 Nd 0.032 0.176 0.000
8 Nd 0.532 0.824 0.500
9 O 0.065 0.880 0.000
10 O 0.623 0.169 0.000
11 O 0.063 0.305 0.229
12 O 0.563 0.695 0.271
13 O 0.123 0.831 0.500
14 O 0.565 0.120 0.500
15 O 0.563 0.695 0.729
16 O 0.063 0.305 0.771



Material: Tc2MoRu
Method: DFT, PBE-GGA
State: relaxed

## Properties
Polymorph energy (0 for the lowest one) ... 0 meV/atom
Space group ... C2 (5)
Energy of formation from the pure elements ... 0.016 eV per atom

a = 2.758 Å, b = 5.233 Å, c = 5.233 Å
α = 54.58°, β = 74.86°, γ = 74.86°
Fractional positions:
1 Tc 0.993 0.090 0.922
2 Tc 0.507 0.578 0.410
3 Mo 0.750 0.664 0.836
4 Ru 0.250 0.167 0.333



Material: KFe2Ir
Method: DFT, PBE-GGA
State: relaxed

## Properties
Polymorph energy (0 for the lowest one) ... 50 meV/atom
Space group ... P4mm (99)
Energy of formation from the pure elements ... 0.579 eV per atom

a = 2.922 Å, b = 2.921 Å, c = 8.443 Å
α = 90.00°, β = 90.00°, γ = 90.00°
Fractional positions:
1 Fe 0.000 0.000 0.091
2 Fe 0.500 0.500 0.248
3 Ir 0.000 0.000 0.423
4 K 0.500 0.500 0.738



Material: Mn2TlSi
Method: DFT, PBE-GGA
State: relaxed

## Properties
E_form (uncorrected) ... 0.397 eV per atom
Space group ... I-4m2 (119)

a = 5.132 Å, b = 5.132 Å, c = 5.132 Å
α = 136.06°, β = 136.06°, γ = 63.89°
Fractional positions:
1 Mn 0.000 0.000 0.000
2 Mn 0.250 0.750 0.500
3 Si 0.500 0.500 0.000
4 Tl 0.750 0.250 0.500



Material: Sm4Cu2C
Method: DFT, PBE-GGA
State: relaxed

## Properties
Space group ... I4/mmm (139)
Energy of formation from the pure elements ... 0.174 eV per atom

a = 4.852 Å, b = 4.852 Å, c = 8.340 Å
α = 73.09°, β = 73.09°, γ = 90.00°
Fractional positions:
1 C 0.000 0.000 0.000
2 Cu 0.872 0.872 0.257
3 Cu 0.128 0.128 0.743
4 Sm 0.692 0.692 0.616
5 Sm 0.308 0.308 0.384
6 Sm 0.000 0.500 0.000
7 Sm 0.500 0.000 0.000



Material: ErMg6Sc2
Method: DFT, PBE-GGA
State: relaxed

## Properties
Polymorph energy (0 for the lowest one) ... 108 meV/atom
Space group ... P-62m (189)
Energy of formation from the pure elements ... 0.081 eV per atom

a = 3.089 Å, b = 9.035 Å, c = 9.035 Å
α = 120.00°, β = 90.00°, γ = 90.00°
Fractional positions:
1 Er 0.500 0.000 0.000
2 Mg 0.000 0.681 0.000
3 Mg 0.000 0.319 0.319
4 Mg 0.000 0.000 0.681
5 Mg 0.500 0.000 0.363
6 Mg 0.500 0.637 0.637
7 Mg 0.500 0.363 0.000
8 Sc 0.000 0.667 0.333
9 Sc 0.000 0.333 0.667



Material: Li5TlO5
Method: DFT, PBE-GGA
State: relaxed

## Properties
E_form (uncorrected) ... -1.276 eV per atom
Space group ... C2/m (12)

a = 4.294 Å, b = 5.385 Å, c = 6.043 Å
α = 107.91°, β = 90.00°, γ = 113.50°
Fractional positions:
1 Li 0.698 0.395 0.329
2 Li 0.686 0.372 0.862
3 Li 0.000 0.000 0.500
4 Li 0.314 0.628 0.138
5 Li 0.302 0.605 0.671
6 Tl 0.000 0.000 0.000
7 O 0.849 0.698 0.184
8 O 0.830 0.660 0.662
9 O 0.500 0.000 0.000
10 O 0.170 0.340 0.338
11 O 0.151 0.302 0.816



Material: CaTbAl
Method: DFT, PBE-GGA
State: relaxed

## Properties
Polymorph energy (0 for the lowest one) ... 62 meV/atom
Space group ... I4mm (107)
Energy of formation from the pure elements ... -0.174 eV per atom

a = 3.592 Å, b = 3.592 Å, c = 7.176 Å
α = 104.49°, β = 104.49°, γ = 90.00°
Fractional positions:
1 Ca 0.023 0.023 0.046
2 Tb 0.304 0.304 0.607
3 Al 0.673 0.673 0.346



Material: CsBi3Au3
Method: DFT, PBE-GGA
State: relaxed

## Properties
Polymorph energy (0 for the lowest one) ... 4 meV/atom
Space group ... Pm-3n (223)
Energy of formation from the pure elements ... -0.131 eV per atom

a = 7.976 Å, b = 7.976 Å, c = 7.976 Å
α = 90.00°, β = 90.00°, γ = 90.00°
Fractional positions:
1 Cs 0.500 0.500 0.500
2 Cs 0.000 0.000 0.000
3 Au 0.000 0.250 0.500
4 Au 0.000 0.750 0.500
5 Au 0.500 0.000 0.750
6 Au 0.750 0.500 0.000
7 Au 0.500 0.000 0.250
8 Au 0.250 0.500 0.000
9 Bi 0.250 0.000 0.500
10 Bi 0.000 0.500 0.250
11 Bi 0.500 0.750 0.000
12 Bi 0.750 0.000 0.500
13 Bi 0.000 0.500 0.750
14 Bi 0.500 0.250 0.000



Material: LiSmGdRe
Method: DFT, PBE-GGA
State: relaxed

## Properties
Space group ... F-43m (216)
Energy of formation from the pure elements ... 0.115 eV per atom

a = 4.981 Å, b = 4.981 Å, c = 4.981 Å
α = 60.00°, β = 60.00°, γ = 60.00°
Fractional positions:
1 Re 0.500 0.500 0.500
2 Gd 0.750 0.750 0.750
3 Sm 0.250 0.250 0.250
4 Li 0.000 0.000 0.000